# 1
PuCuAgTe3: relaxed, PBE-GGA.

Results
E_tot ... -5.519 eV per atom

Unit cell a=4.232 b=8.569 c=9.058 alpha=96.57 beta=90.00 gamma=90.00
Atoms (fractional coordinates):
Pu: 0.250 0.149 0.235
Pu: 0.750 0.851 0.765
Cu: 0.250 0.066 0.570
Cu: 0.750 0.934 0.430
Ag: 0.250 0.629 0.175
Ag: 0.750 0.371 0.825
Te: 0.750 0.892 0.135
Te: 0.250 0.108 0.865
Te: 0.250 0.759 0.493
Te: 0.750 0.241 0.507
Te: 0.750 0.393 0.150
Te: 0.250 0.607 0.850

---

# 2
LiAcTh2: relaxed, PBE-GGA.

Results
E_tot ... -4.841 eV per atom

Unit cell a=3.560 b=3.560 c=13.035 alpha=82.15 beta=82.15 gamma=60.00
Atoms (fractional coordinates):
Ac: 0.500 0.500 0.500
Th: 0.087 0.087 0.740
Th: 0.913 0.913 0.260
Li: 0.000 0.000 0.000

---

# 3
Na2TlI4: relaxed, PBE-GGA.

Results
ΔE to the lowest computed polymorph ... 0.00 eV/f.u.

Unit cell a=4.680 b=8.084 c=8.931 alpha=119.26 beta=105.19 gamma=90.00
Atoms (fractional coordinates):
Na: 0.728 0.757 0.456
Na: 0.272 0.243 0.544
Tl: 0.000 0.000 0.000
I: 0.882 0.202 0.765
I: 0.118 0.798 0.235
I: 0.642 0.292 0.284
I: 0.358 0.708 0.716

---

# 4
TeAs2Pb: relaxed, PBE-GGA.

Results
ΔE to the lowest computed polymorph ... 1.57 eV/f.u.

Unit cell a=5.917 b=5.917 c=3.319 alpha=79.32 beta=79.32 gamma=114.20
Atoms (fractional coordinates):
Pb: 0.500 0.000 0.500
As: 0.000 0.000 0.000
As: 0.500 0.500 0.000
Te: 0.000 0.500 0.500

---

# 5
BaRe2P: relaxed, PBE-GGA.

Results
E_tot ... -6.771 eV per atom

Unit cell a=2.860 b=4.977 c=5.718 alpha=90.00 beta=90.00 gamma=90.00
Atoms (fractional coordinates):
Ba: 0.500 0.000 0.500
P: 0.000 0.500 0.500
Re: 0.000 0.000 0.000
Re: 0.500 0.500 0.000

---

# 6
FeNiPt2: relaxed, PBE-GGA.

Results
E_tot ... -6.730 eV per atom

Unit cell a=8.810 b=8.810 c=8.810 alpha=17.74 beta=17.74 gamma=17.74
Atoms (fractional coordinates):
Fe: 0.250 0.250 0.250
Ni: 0.750 0.750 0.750
Pt: 0.000 0.000 0.000
Pt: 0.500 0.500 0.500

---

# 7
Y3Tm2Sc4: relaxed, PBE-GGA.

Results
E_tot ... -5.843 eV per atom

Unit cell a=5.736 b=10.786 c=10.786 alpha=63.01 beta=63.99 gamma=63.99
Atoms (fractional coordinates):
Y: 0.765 0.050 0.280
Y: 0.735 0.720 0.950
Y: 0.235 0.950 0.720
Y: 0.265 0.280 0.050
Y: 0.250 0.650 0.350
Y: 0.750 0.350 0.650
Tm: 0.438 0.273 0.495
Tm: 0.062 0.505 0.727
Tm: 0.562 0.727 0.505
Tm: 0.938 0.495 0.273
Sc: 0.434 0.935 0.172
Sc: 0.066 0.828 0.065
Sc: 0.566 0.065 0.828
Sc: 0.934 0.172 0.935
Sc: 0.105 0.134 0.411
Sc: 0.395 0.589 0.866
Sc: 0.895 0.866 0.589
Sc: 0.605 0.411 0.134

---

# 8
Th2Ga5Tc: relaxed, PBE-GGA.

Results
E_tot ... -5.393 eV per atom

Unit cell a=6.247 b=6.247 c=6.247 alpha=89.79 beta=120.12 gamma=120.12
Atoms (fractional coordinates):
Th: 0.500 0.247 0.747
Th: 0.500 0.747 0.247
Ga: 0.425 0.705 0.705
Ga: 0.000 0.705 0.280
Ga: 0.000 0.280 0.705
Ga: 0.575 0.280 0.280
Ga: 0.000 0.269 0.269
Tc: 0.000 0.988 0.988

---

| no. | V (Å³ per cell) |
| --- | --- |
| 1 | 326 |
| 2 | 141 |
| 3 | 281 |
| 4 | 100 |
| 5 | 81 |
| 6 | 55 |
| 7 | 510 |
| 8 | 172 |